# 1
Computed, not measured: crystalline Cs2KMnP at its relaxed geometry at the GGA-PBE level of DFT.

Computed properties:
SG: No. 123
DOS(E_F): 0.716 states/eV per atom
volume: 254 Å³/cell
total DFT energy (no corrections): -3.36 eV/atom

```
Cs2KMnP
1.0
-2.556 -2.782 -6.456
-3.829 -1.305 2.078
-3.124 6.603 -1.608
Cs Mn K P
2 1 1 1
Cartesian
-1.278 -1.391 -3.228
-1.562 3.302 -0.804
-1.915 -0.653 1.039
-4.755 1.258 -2.993
0.000 0.000 0.000
```



# 2
Computed, not measured: crystalline CsKMnRu2 at its relaxed geometry at the GGA-PBE level of DFT.

Computed properties:
SG: No. 123
DOS(E_F): 0.971 states/eV per atom
volume: 121 Å³/cell
total DFT energy (no corrections): -4.65 eV/atom

```
CsKMnRu2
1.0
-4.128 -1.569 1.033
0.208 -3.599 -4.638
1.872 -3.222 2.585
K Mn Ru Cs
1 1 2 1
Cartesian
-1.024 -4.196 -0.510
0.000 0.000 0.000
-2.064 -0.785 0.516
0.936 -1.611 1.292
0.104 -1.800 -2.319
```



# 3
Computed, not measured: crystalline CsKMnS3 at its relaxed geometry at the GGA-PBE level of DFT.

Computed properties:
SG: No. 15
DOS(E_F): 0.341 states/eV per atom
volume: 350 Å³/cell
E_form (uncorrected): -0.866 eV/atom

```
CsKMnS3
1.0
-2.429 -5.541 2.771
6.305 -3.499 1.498
3.361 1.416 7.263
K S Cs Mn
2 6 2 2
Cartesian
1.369 -5.324 4.023
5.868 -2.299 7.508
5.076 -2.632 1.634
5.779 -3.647 4.736
2.161 -4.991 9.897
1.458 -3.976 6.796
7.196 -4.393 9.445
0.041 -3.230 2.086
2.652 -1.522 4.759
4.586 -6.101 6.773
5.716 -4.609 2.756
1.522 -3.014 8.776
```



# 4
Computed, not measured: crystalline CsKMnSe3 at its relaxed geometry at the GGA-PBE level of DFT.

Computed properties:
SG: No. 15
DOS(E_F): 0.431 states/eV per atom
volume: 398 Å³/cell
E_form (uncorrected): -0.811 eV/atom

```
CsKMnSe3
1.0
-5.896 -3.689 0.273
-1.490 -1.109 -7.380
3.329 -7.056 -3.536
Se K Cs Mn
6 2 2 2
Cartesian
-3.137 -10.438 -4.750
-0.920 -1.417 -5.893
-2.704 -7.253 -3.392
-1.354 -4.601 -7.251
-1.169 -9.313 -9.316
-2.888 -2.542 -1.327
-4.406 -4.537 -3.456
0.348 -7.318 -7.186
-3.909 -7.074 -7.099
-0.149 -4.781 -3.543
-2.606 -2.603 -7.298
-1.451 -9.251 -3.344
```



# 5
Computed, not measured: crystalline CsKTaMn2 at its relaxed geometry at the GGA-PBE level of DFT.

Computed properties:
SG: No. 123
DOS(E_F): 0.953 states/eV per atom
volume: 164 Å³/cell
total DFT energy (no corrections): -5.20 eV/atom

```
CsKTaMn2
1.0
4.997 0.000 0.000
0.000 6.565 0.000
0.000 0.000 4.997
Ta K Cs Mn
1 1 1 2
Cartesian
0.000 0.000 0.000
0.000 3.282 0.000
2.499 3.282 2.499
0.000 0.000 2.499
2.499 0.000 0.000
```



# 6
Computed, not measured: crystalline CsKMo3 at its relaxed geometry at the GGA-PBE level of DFT.

Computed properties:
SG: No. 221
energy relative to the lowest polymorph listed for this composition: 0 meV/atom
DOS(E_F): 1.416 states/eV per atom
volume: 130 Å³/cell

```
CsKMo3
1.0
-1.939 -0.793 4.611
0.288 -5.002 -0.739
4.669 -0.021 1.960
Cs Mo K
1 3 1
Cartesian
0.000 0.000 0.000
-0.969 -0.396 2.305
0.144 -2.501 -0.370
2.335 -0.011 0.980
1.509 -2.908 2.916
```